## Al2GeS (PBEsol)

Data for a relaxed Al2GeS crystal.

The value obtained for the raw formation energy is -0.3887 eV/atom. Its total moment is 0.00 μB per formula unit.

Cell lengths 5.5522, 5.5522, 6.8776 Å; angles 113.81, 113.81, 90.00 degrees
Sites, in units of the cell vectors:
Ge  0.2500  0.7500  0.5000
Al  0.6250  0.6243  0.7500
S  0.7500  0.2500  0.5000
S  0.5000  0.5000  0.0000
Ge  0.0000  0.0000  0.0000
Al  0.8743  0.3750  0.2500
Al  0.1250  0.1257  0.7500
Al  0.3757  0.8750  0.2500

## RbMgMn2Cl (PBEsol)

Data for a relaxed RbMgMn2Cl crystal.

The value obtained for the raw formation energy is 0.7577 eV/atom. Its total moment is 7.44 μB per formula unit.

Cell lengths 4.7310, 4.7310, 5.7566 Å; angles 90.00, 90.00, 90.00 degrees
Last column: magnetic moment on the atom in μB.
Sites, in units of the cell vectors:
Rb  0.0000  0.0000  0.5000  -0.02
Mn  0.5000  0.0000  0.0000  3.73
Cl  0.0000  0.0000  0.0000  0.02
Mn  0.0000  0.5000  0.0000  3.73
Mg  0.5000  0.5000  0.5000  -0.01

## YCuW2O8 (PBEsol)

Data for a relaxed YCuW2O8 crystal.

The value obtained for the raw formation energy is -2.2529 eV/atom. Its total moment is 0.00 μB per formula unit.

Cell lengths 4.9690, 5.8701, 9.9274 Å; angles 90.00, 93.25, 90.00 degrees
Sites, in units of the cell vectors:
O  0.4134  0.3600  0.6408
W  0.2505  0.1739  0.9850
O  0.5606  0.1152  0.4061
Y  0.7500  0.3206  0.2500
O  0.0606  0.8848  0.9061
Cu  0.7500  0.2817  0.7500
Cu  0.2500  0.7183  0.2500
O  0.0866  0.3600  0.8592
O  0.6063  0.6277  0.8920
O  0.9134  0.6400  0.1408
O  0.3937  0.3723  0.1080
O  0.5452  0.0840  0.8862
O  0.9548  0.0840  0.6138
W  0.7505  0.8261  0.4850
O  0.4394  0.8848  0.5939
O  0.1063  0.3723  0.3920
Y  0.2500  0.6794  0.7500
O  0.4548  0.9160  0.1138
W  0.7495  0.8261  0.0150
O  0.0452  0.9160  0.3862
O  0.8937  0.6277  0.6080
O  0.9394  0.1152  0.0939
W  0.2495  0.1739  0.5150
O  0.5866  0.6400  0.3592

## Ag3SnRh (PBEsol)

Data for a relaxed Ag3SnRh crystal.

Its energy of formation from the pure elements is 0.962 eV/atom. Its total moment is 0.00 μB per formula unit.

Cell lengths 4.9068, 4.9068, 4.9068 Å; angles 90.00, 90.00, 90.00 degrees
Sites, in units of the cell vectors:
Sn  0.5000  0.5000  0.5000
Ag  0.0000  0.0000  0.5000
Ag  0.0000  0.5000  0.0000
Rh  0.0000  0.0000  0.0000
Ag  0.5000  0.0000  0.0000

## KMgCr (PBEsol)

Data for a relaxed KMgCr crystal.

As for the excess energy over the best structure of this formula in the dataset: 0.79 eV/f.u. Its energy of formation from the pure elements is 1.113 eV/atom. Its total moment is 5.05 μB per formula unit.

Cell lengths 5.2894, 5.2894, 5.2894 Å; angles 60.00, 60.00, 60.00 degrees
Last column: magnetic moment on the atom in μB.
Sites, in units of the cell vectors:
Cr  0.2500  0.2500  0.2500  4.16
Mg  0.5000  0.5000  0.5000  -0.01
K  0.0000  0.0000  0.0000  0.03

## KMnAlH2 (PBEsol)

Data for a relaxed KMnAlH2 crystal.

As for the raw total energy: -3.067 eV/atom. Its total moment is 4.26 μB per formula unit.

Cell lengths 4.0575, 4.0575, 6.5313 Å; angles 90.00, 90.00, 90.00 degrees
Last column: magnetic moment on the atom in μB.
Sites, in units of the cell vectors:
Mn  0.5000  0.5000  0.5000  4.11
H  0.5000  0.0000  0.0000  0.01
K  0.0000  0.0000  0.5000  -0.01
Al  0.0000  0.0000  0.0000  -0.02
H  0.0000  0.5000  0.0000  0.01